No. 1
{"formula": "KTeH3", "functional": "PBE-GGA", "state": "optimized geometry", "lattice": [[-0.536, 2.729, 3.266], [-0.721, -3.303, 2.641], [4.195, -0.219, 0.871]], "species": ["H", "H", "H", "K", "Te"], "fractional_positions": [[0.000, 0.500, 0.000], [0.000, 0.000, 0.500], [0.500, 0.000, 0.000], [0.000, 0.000, 0.000], [0.500, 0.500, 0.500]], "de_polymorph_mev_per_atom": 1304, "spacegroup": "Pm-3m, No. 221"}

---

No. 2
{"formula": "K3TeH2", "functional": "PBE-GGA", "state": "optimized geometry", "lattice": [[4.577, 0.000, 0.000], [0.000, 9.493, -4.843], [0.000, -1.227, 9.320]], "species": ["K", "K", "K", "K", "K", "K", "Te", "Te", "H", "H", "H", "H"], "fractional_positions": [[0.750, 0.901, 0.803], [0.250, 0.099, 0.197], [0.750, 0.837, 0.272], [0.250, 0.163, 0.728], [0.750, 0.435, 0.272], [0.250, 0.565, 0.728], [0.750, 0.266, 0.531], [0.250, 0.734, 0.469], [0.000, 0.817, 0.000], [0.500, 0.183, 0.000], [0.000, 0.183, 0.000], [0.500, 0.817, 0.000]], "de_polymorph_mev_per_atom": 51, "spacegroup": "Cmcm, No. 63"}